## Co2ReMo (GGA-PBE)

Data for a relaxed structure of Co2ReMo.

```
data_Co2ReMo
_cell_length_a 6.550
_cell_length_b 6.550
_cell_length_c 5.164
_cell_angle_alpha 90.00
_cell_angle_beta 90.00
_cell_angle_gamma 90.00
_symmetry_space_group_name_H-M 'I -4 2 d'
_symmetry_Int_Tables_number 122
_symmetry_space_group_name_Hall 'I -4 2bw'
loop_
_atom_site_label
_atom_site_type_symbol
_atom_site_fract_x
_atom_site_fract_y
_atom_site_fract_z
Co1 Co 0.245 0.250 0.125
Re1 Re 0.000 0.000 0.000
Mo1 Mo 0.000 0.000 0.500
```

Formation enthalpy at 0 K = 0.63 eV per atom